[1]
VASP calculation (PBE) on Li2ZnAu after structural relaxation.

Cell and atoms, written as CIF:
```
data_Li2ZnAu
_space_group_name_H-M_alt 'P 1'
_space_group_IT_number 1
_cell_length_a 4.373
_cell_length_b 4.373
_cell_length_c 6.188
_cell_angle_alpha 90.00
_cell_angle_beta 90.00
_cell_angle_gamma 90.00
loop_
_space_group_symop_operation_xyz
'x,y,z'
loop_
_atom_site_label
_atom_site_fract_x
_atom_site_fract_y
_atom_site_fract_z
_atom_site_occupancy
Zn1 0.000 0.000 0.500 1
Zn2 0.500 0.500 0.000 1
Li1 0.500 0.500 0.500 1
Li2 0.000 0.000 0.000 1
Li3 0.000 0.500 0.749 1
Li4 0.500 0.000 0.251 1
Au1 0.500 0.000 0.750 1
Au2 0.000 0.500 0.250 1
```

Values from the calculation:
The symmetry is P-4m2. Its total energy is -2.527 eV per atom.

***

[2]
VASP calculation (PBE) on TbHfAg4 after structural relaxation.

Cell and atoms, written as CIF:
```
data_TbHfAg4
_space_group_name_H-M_alt 'P 1'
_space_group_IT_number 1
_cell_length_a 3.623
_cell_length_b 3.623
_cell_length_c 9.129
_cell_angle_alpha 90.00
_cell_angle_beta 90.00
_cell_angle_gamma 90.00
loop_
_space_group_symop_operation_xyz
'x,y,z'
loop_
_atom_site_label
_atom_site_fract_x
_atom_site_fract_y
_atom_site_fract_z
_atom_site_occupancy
Ag1 0.000 0.000 0.319 1
Ag2 0.000 0.000 0.681 1
Ag3 0.500 0.500 0.840 1
Ag4 0.500 0.500 0.160 1
Tb1 0.500 0.500 0.500 1
Hf1 0.000 0.000 0.000 1
```

Values from the calculation:
As for the formation energy: -156 meV per atom. The symmetry is P4/mmm. The spin magnetization comes out at 0.20 μB/f.u.

***

[3]
VASP calculation (PBE) on NdGa2S2 after structural relaxation.

Cell and atoms, written as CIF:
```
data_NdGa2S2
_space_group_name_H-M_alt 'P 1'
_space_group_IT_number 1
_cell_length_a 8.185
_cell_length_b 8.185
_cell_length_c 3.402
_cell_angle_alpha 90.00
_cell_angle_beta 90.00
_cell_angle_gamma 90.00
loop_
_space_group_symop_operation_xyz
'x,y,z'
loop_
_atom_site_label
_atom_site_fract_x
_atom_site_fract_y
_atom_site_fract_z
_atom_site_occupancy
Nd1 0.500 0.500 0.000 1
Nd2 0.000 0.000 0.000 1
S1 0.797 0.297 0.500 1
S2 0.703 0.797 0.500 1
S3 0.203 0.703 0.500 1
S4 0.297 0.203 0.500 1
Ga1 0.104 0.396 0.500 1
Ga2 0.896 0.604 0.500 1
Ga3 0.604 0.104 0.500 1
Ga4 0.396 0.896 0.500 1
```

Values from the calculation:
The symmetry is P4/mbm. Its total energy is -4.104 eV per atom. The spin magnetization comes out at 0.00 μB/f.u.

***

[4]
VASP calculation (PBE) on YNbMo2 after structural relaxation.

Cell and atoms, written as CIF:
```
data_YNbMo2
_space_group_name_H-M_alt 'P 1'
_space_group_IT_number 1
_cell_length_a 4.715
_cell_length_b 4.715
_cell_length_c 4.715
_cell_angle_alpha 60.00
_cell_angle_beta 60.00
_cell_angle_gamma 60.00
loop_
_space_group_symop_operation_xyz
'x,y,z'
loop_
_atom_site_label
_atom_site_fract_x
_atom_site_fract_y
_atom_site_fract_z
_atom_site_occupancy
Nb1 0.500 0.500 0.500 1
Y1 0.250 0.250 0.250 1
Mo1 0.000 0.000 0.000 1
Mo2 0.750 0.750 0.750 1
```

Values from the calculation:
As for the formation energy: 368 meV per atom. The symmetry is F-43m. The spin magnetization comes out at 0.01 μB/f.u.

***

[5]
VASP calculation (PBE) on Ba2ZnOsS6 after structural relaxation.

Cell and atoms, written as CIF:
```
data_Ba2ZnOsS6
_space_group_name_H-M_alt 'P 1'
_space_group_IT_number 1
_cell_length_a 6.819
_cell_length_b 6.819
_cell_length_c 6.821
_cell_angle_alpha 120.00
_cell_angle_beta 120.00
_cell_angle_gamma 60.00
loop_
_space_group_symop_operation_xyz
'x,y,z'
loop_
_atom_site_label
_atom_site_fract_x
_atom_site_fract_y
_atom_site_fract_z
_atom_site_occupancy
Os1 0.000 0.000 0.000 1
S1 0.246 0.246 0.238 1
S2 0.758 0.250 0.250 1
S3 0.750 0.242 0.750 1
S4 0.242 0.750 0.750 1
S5 0.250 0.758 0.250 1
S6 0.754 0.754 0.762 1
Ba1 0.250 0.250 0.750 1
Ba2 0.750 0.750 0.250 1
Zn1 0.500 0.500 0.500 1
```

Values from the calculation:
The symmetry is C2/m. The spin magnetization comes out at 0.02 μB/f.u. The offset from the most stable computed form is 31 meV per atom.

***

[6]
VASP calculation (PBE) on NaAg3WSe4 after structural relaxation.

Cell and atoms, written as CIF:
```
data_NaAg3WSe4
_space_group_name_H-M_alt 'P 1'
_space_group_IT_number 1
_cell_length_a 6.327
_cell_length_b 6.327
_cell_length_c 6.327
_cell_angle_alpha 90.00
_cell_angle_beta 90.00
_cell_angle_gamma 90.00
loop_
_space_group_symop_operation_xyz
'x,y,z'
loop_
_atom_site_label
_atom_site_fract_x
_atom_site_fract_y
_atom_site_fract_z
_atom_site_occupancy
Se1 0.727 0.727 0.273 1
Se2 0.727 0.273 0.727 1
Se3 0.273 0.727 0.727 1
Se4 0.273 0.273 0.273 1
Ag1 0.500 0.500 0.000 1
Ag2 0.000 0.500 0.500 1
Ag3 0.500 0.000 0.500 1
W1 0.500 0.500 0.500 1
Na1 0.000 0.000 0.000 1
```

Values from the calculation:
The symmetry is P-43m. Its total energy is -4.250 eV per atom. The spin magnetization comes out at 1.95 μB/f.u.